i:
TlCrPt3 | GGA-PBE | relaxed

Cell lengths 4.986, 4.986, 4.986 Å; angles 90.00, 90.00, 90.00 degrees
Each line ends with the local moment (μB).
Positions (direct):
Cr: 0.500 0.500 0.500  -0.74
Tl: 0.000 0.000 0.000  0.00
Pt: 0.000 0.500 0.000  0.01
Pt: 0.000 0.000 0.500  0.04
Pt: 0.500 0.000 0.000  -0.02

## Properties
Density of states at the Fermi level ... 11.078 states/eV per cell
Density ... 11.3 g cm⁻³
Total moment ... 0.76 μB/cell

***

ii:
TlCrPt3 | GGA-PBE | relaxed

Cell lengths 4.684, 4.684, 4.684 Å; angles 90.00, 90.00, 90.00 degrees
Positions (direct):
Cr: 0.000 0.000 0.000
Tl: 0.500 0.500 0.500
Pt: 0.000 0.500 0.000
Pt: 0.000 0.000 0.500
Pt: 0.500 0.000 0.000

## Properties
Density of states at the Fermi level ... 5.782 states/eV per cell
Density ... 13.6 g cm⁻³
Total moment ... 0.00 μB/cell

***

Stability, lowest: i

***

i:
V2CrPt2 | GGA-PBE | relaxed

Cell lengths 7.398, 7.398, 2.821 Å; angles 90.00, 90.00, 90.00 degrees
Each line ends with the local moment (μB).
Positions (direct):
Cr: 0.000 0.000 0.000  3.26
Cr: 0.500 0.500 0.000  3.26
Pt: 0.370 0.870 0.000  0.06
Pt: 0.870 0.630 0.000  0.06
Pt: 0.630 0.130 0.000  0.06
Pt: 0.130 0.370 0.000  0.06
V: 0.170 0.670 0.500  -0.89
V: 0.670 0.830 0.500  -0.89
V: 0.830 0.330 0.500  -0.89
V: 0.330 0.170 0.500  -0.89

## Properties
Density of states at the Fermi level ... 9.538 states/eV per cell
Density ... 11.7 g cm⁻³
Total moment ... 3.59 μB/cell

***

ii:
V2CrPt2 | GGA-PBE | relaxed

Cell lengths 6.228, 6.228, 3.798 Å; angles 90.00, 90.00, 90.00 degrees
Each line ends with the local moment (μB).
Positions (direct):
Cr: 0.000 0.000 0.000  -1.17
Cr: 0.500 0.500 0.000  -1.17
Pt: 0.160 0.660 0.500  0.02
Pt: 0.660 0.840 0.500  0.02
Pt: 0.840 0.340 0.500  0.02
Pt: 0.340 0.160 0.500  0.02
V: 0.353 0.853 0.000  0.98
V: 0.853 0.647 0.000  0.98
V: 0.647 0.147 0.000  0.98
V: 0.147 0.353 0.000  0.98

## Properties
Density of states at the Fermi level ... 7.145 states/eV per cell
Density ... 12.3 g cm⁻³
Total moment ... 1.97 μB/cell

***

Stability, lowest: ii

***

i:
CrPtW | GGA-PBE | relaxed

Cell lengths 4.351, 4.351, 2.677 Å; angles 90.00, 90.00, 120.00 degrees
Positions (direct):
Cr: 0.000 0.000 0.838
Pt: 0.667 0.333 0.333
W: 0.333 0.667 0.828

## Properties
Density of states at the Fermi level ... 3.497 states/eV per cell
Density ... 16.3 g cm⁻³
Total moment ... 0.00 μB/cell

***

ii:
CrPtW | GGA-PBE | relaxed

Cell lengths 6.282, 6.281, 2.702 Å; angles 77.59, 77.57, 24.84 degrees
Each line ends with the local moment (μB).
Positions (direct):
Cr: 0.003 0.003 0.997  0.73
Pt: 0.661 0.661 0.339  -0.02
W: 0.337 0.337 0.663  0.01

## Properties
Density of states at the Fermi level ... 2.699 states/eV per cell
Density ... 16.4 g cm⁻³
Total moment ... 0.75 μB/cell

***

Stability, lowest: i

***

i:
CrPtW3 | GGA-PBE | relaxed

Cell lengths 4.445, 4.445, 4.445 Å; angles 90.00, 90.00, 90.00 degrees
Positions (direct):
Cr: 0.000 0.000 0.000
W: 0.000 0.500 0.000
W: 0.000 0.000 0.500
W: 0.500 0.000 0.000
Pt: 0.500 0.500 0.500

## Properties
Density of states at the Fermi level ... 4.189 states/eV per cell
Density ... 15.1 g cm⁻³
Total moment ... 0.00 μB/cell

***

ii:
CrPtW3 | GGA-PBE | relaxed

Cell lengths 4.781, 4.781, 4.781 Å; angles 90.00, 90.00, 90.00 degrees
Each line ends with the local moment (μB).
Positions (direct):
Cr: 0.500 0.500 0.500  3.63
W: 0.000 0.500 0.000  -0.21
W: 0.000 0.000 0.500  -0.25
W: 0.500 0.000 0.000  -0.24
Pt: 0.000 0.000 0.000  0.03

## Properties
Density of states at the Fermi level ... 7.016 states/eV per cell
Density ... 12.1 g cm⁻³
Total moment ... 3.34 μB/cell

***

Stability, lowest: ii

***

i:
YCr2Pt2 | GGA-PBE | relaxed

Cell lengths 3.973, 3.973, 6.632 Å; angles 72.57, 72.57, 90.00 degrees
Each line ends with the local moment (μB).
Positions (direct):
Y: 0.000 0.000 0.000  0.14
Cr: 0.750 0.250 0.500  3.08
Cr: 0.250 0.750 0.500  3.08
Pt: 0.390 0.390 0.219  0.16
Pt: 0.610 0.610 0.781  0.16

## Properties
Density of states at the Fermi level ... 5.460 states/eV per cell
Density ... 10.2 g cm⁻³
Total moment ... 7.43 μB/cell

***

ii:
YCr2Pt2 | GGA-PBE | relaxed

Cell lengths 7.605, 7.605, 2.847 Å; angles 90.00, 90.00, 90.00 degrees
Positions (direct):
Y: 0.000 0.000 0.000
Y: 0.500 0.500 0.000
Cr: 0.410 0.910 0.000
Cr: 0.910 0.590 0.000
Cr: 0.590 0.090 0.000
Cr: 0.090 0.410 0.000
Pt: 0.197 0.697 0.500
Pt: 0.697 0.803 0.500
Pt: 0.803 0.303 0.500
Pt: 0.303 0.197 0.500

## Properties
Density of states at the Fermi level ... 9.294 states/eV per cell
Density ... 11.8 g cm⁻³
Total moment ... 0.00 μB/cell

***

Stability, lowest: ii

***

i:
YCr3Pt | GGA-PBE | relaxed

Cell lengths 4.860, 4.860, 4.860 Å; angles 90.00, 90.00, 90.00 degrees
Each line ends with the local moment (μB).
Positions (direct):
Y: 0.500 0.500 0.500  -0.08
Cr: 0.000 0.500 0.000  3.42
Cr: 0.000 0.000 0.500  3.39
Cr: 0.500 0.000 0.000  3.29
Pt: 0.000 0.000 0.000  0.17

## Properties
Density of states at the Fermi level ... 9.136 states/eV per cell
Density ... 6.4 g cm⁻³
Total moment ... 11.01 μB/cell

***

ii:
YCr3Pt | GGA-PBE | relaxed

Cell lengths 4.433, 4.433, 4.433 Å; angles 90.00, 90.00, 90.00 degrees
Positions (direct):
Y: 0.000 0.000 0.000
Cr: 0.000 0.500 0.000
Cr: 0.000 0.000 0.500
Cr: 0.500 0.000 0.000
Pt: 0.500 0.500 0.500

## Properties
Density of states at the Fermi level ... 6.381 states/eV per cell
Density ... 8.4 g cm⁻³
Total moment ... 0.00 μB/cell

***

Stability, lowest: ii